(1)
## CoCu2P (meta-GGA SCAN)

Data for a crystal of CoCu2P relaxed with PBEsol.

## Properties
The density of states at the Fermi level is 1.6 states/eV/f.u. Its total DFT energy (no corrections) is -57.6 eV/cell. As for the volume: 45.26 Å³/f.u. The value obtained for the formation energy is 115 meV per atom.

Lattice parameters (Å, degrees): 2.6083 3.9741 4.5098 90.00 104.49 90.00
Closest atoms and distances in Å follow each position.
Positions (direct):
1 Co 0.5000 0.5000 0.5000  2 P 2.25
2 Cu 0.1574 0.0000 0.7603  3 Cu 2.29-2.50, 2 P 2.33
3 Cu 0.8426 0.0000 0.2397  3 Cu 2.29-2.50, 2 P 2.33
4 P 0.5000 0.5000 0.0000  2 Co 2.25, 4 Cu 2.33

=====

(2)
## CoCu2Pb (meta-GGA SCAN)

Data for a crystal of CoCu2Pb relaxed with PBEsol.

## Properties
The density of states at the Fermi level is 2.0 states/eV/f.u. Its total DFT energy (no corrections) is -121.9 eV/cell. As for the volume: 55.44 Å³/f.u. The value obtained for the formation energy is 397 meV per atom.

Lattice parameters (Å, degrees): 3.7304 3.7304 3.9839 90.00 90.00 90.00
Closest atoms and distances in Å follow each position.
Positions (direct):
1 Co 0.0000 0.0000 0.5000  4 Pb 2.64, 8 Cu 2.73
2 Cu 0.0000 0.5000 0.0000  4 Cu 2.64, 4 Pb 2.73, 4 Co 2.73
3 Cu 0.5000 0.0000 0.0000  4 Cu 2.64, 4 Pb 2.73, 4 Co 2.73
4 Pb 0.5000 0.5000 0.5000  4 Co 2.64, 8 Cu 2.73

=====

(3)
## CoCu2Pb (meta-GGA SCAN)

Data for a crystal of CoCu2Pb relaxed with PBEsol.

## Properties
The density of states at the Fermi level is 2.6 states/eV/f.u. Its total DFT energy (no corrections) is -121.5 eV/cell. As for the volume: 55.81 Å³/f.u. The value obtained for the formation energy is 504 meV per atom.

Lattice parameters (Å, degrees): 3.6828 3.6828 4.8695 112.22 112.22 90.00
Closest atoms and distances in Å follow each position.
Positions (direct):
1 Co 0.0000 0.0000 0.0000  4 Pb 2.60, 8 Cu 2.76
2 Cu 0.7500 0.2500 0.5000  4 Cu 2.60, 4 Pb 2.76, 4 Co 2.76
3 Cu 0.2500 0.7500 0.5000  4 Cu 2.60, 4 Pb 2.76, 4 Co 2.76
4 Pb 0.5000 0.5000 0.0000  4 Co 2.60, 8 Cu 2.76

=====

(4)
## SrCoCuPd2 (meta-GGA SCAN)

Data for a crystal of SrCoCuPd2 relaxed with PBEsol.

## Properties
The density of states at the Fermi level is 2.2 states/eV/f.u. Its total DFT energy (no corrections) is -119.3 eV/cell. As for the volume: 95.99 Å³/f.u. The value obtained for the formation energy is 196 meV per atom.

Lattice parameters (Å, degrees): 4.3404 4.7027 4.7027 90.00 90.00 90.00
Closest atoms and distances in Å follow each position.
Positions (direct):
1 Sr 0.5000 0.5000 0.5000  8 Pd 3.20, 4 Co 3.33
2 Co 0.5000 0.0000 0.0000  2 Cu 2.17
3 Cu 0.0000 0.0000 0.0000  2 Co 2.17, 4 Pd 2.35
4 Pd 0.0000 0.0000 0.5000  2 Cu 2.35
5 Pd 0.0000 0.5000 0.0000  2 Cu 2.35

=====

(5)
## Pr2Co16Cu (meta-GGA SCAN)

Data for a crystal of Pr2Co16Cu relaxed with PBEsol.

## Properties
The density of states at the Fermi level is 15.2 states/eV/f.u. Its total DFT energy (no corrections) is -378.1 eV/cell. As for the volume: 237.20 Å³/f.u. The value obtained for the formation energy is 31 meV per atom.

Lattice parameters (Å, degrees): 6.2290 6.2290 6.2290 83.38 83.38 83.38
Closest atoms and distances in Å follow each position.
Positions (direct):
1 Pr 0.6557 0.6557 0.6557  19 Co 2.89-3.18
2 Pr 0.3437 0.3437 0.3437  1 Cu 2.93, 18 Co 2.98-3.22
3 Co 0.2841 0.0000 0.7165  8 Co 2.34-2.58
4 Co 0.7165 0.2841 0.0000  8 Co 2.34-2.58
5 Co 0.0000 0.7165 0.2841  8 Co 2.34-2.58
6 Co 0.2841 0.7165 0.0000  8 Co 2.34-2.58
7 Co 0.0000 0.2841 0.7165  8 Co 2.34-2.58
8 Co 0.7165 0.0000 0.2841  8 Co 2.34-2.58
9 Co 0.3451 0.8491 0.3451  8 Co 2.40-2.57, 1 Cu 2.56
10 Co 0.3451 0.3451 0.8491  8 Co 2.40-2.57, 1 Cu 2.56
11 Co 0.8491 0.3451 0.3451  8 Co 2.40-2.57, 1 Cu 2.56
12 Co 0.6574 0.1497 0.6574  9 Co 2.36-2.58
13 Co 0.6574 0.6574 0.1497  9 Co 2.36-2.58
14 Co 0.1497 0.6574 0.6574  9 Co 2.36-2.58
15 Co 0.9979 0.5038 0.9979  9 Co 2.34-2.49, 1 Cu 2.55
16 Co 0.9979 0.9979 0.5038  9 Co 2.34-2.49, 1 Cu 2.55
17 Co 0.5038 0.9979 0.9979  9 Co 2.34-2.49, 1 Cu 2.55
18 Co 0.8974 0.8974 0.8974  1 Cu 2.41, 12 Co 2.49-2.65
19 Cu 0.0985 0.0985 0.0985  13 Co 2.41-2.63

=====

(6)
## Co2CuPt (meta-GGA SCAN)

Data for a crystal of Co2CuPt relaxed with PBEsol.

## Properties
The density of states at the Fermi level is 2.2 states/eV/f.u. Its total DFT energy (no corrections) is -120.1 eV/cell. As for the volume: 47.69 Å³/f.u. The value obtained for the formation energy is -18 meV per atom.

Lattice parameters (Å, degrees): 2.6353 2.6353 6.8665 90.00 90.00 90.00
Closest atoms and distances in Å follow each position.
Positions (direct):
1 Co 0.0000 0.0000 0.0221  8 Co 2.39-2.64, 4 Pt 2.62
2 Co 0.5000 0.5000 0.2398  8 Co 2.39-2.64, 4 Cu 2.50
3 Cu 0.0000 0.0000 0.4832  4 Co 2.50, 4 Cu 2.64, 4 Pt 2.64
4 Pt 0.5000 0.5000 0.7549  4 Co 2.62, 4 Pt 2.64, 4 Cu 2.64

=====

(7)
## Co6CuPt (meta-GGA SCAN)

Data for a crystal of Co6CuPt relaxed with PBEsol.

## Properties
The density of states at the Fermi level is 5.3 states/eV/f.u. Its total DFT energy (no corrections) is -757.1 eV/cell. As for the volume: 89.38 Å³/f.u. The value obtained for the formation energy is -8 meV per atom.

Lattice parameters (Å, degrees): 6.1455 6.1455 10.0524 90.00 90.00 109.66
Closest atoms and distances in Å follow each position.
Positions (direct):
1 Co 0.2468 0.7532 0.7457  8 Co 2.45-2.57, 2 Cu 2.47-2.48, 2 Pt 2.54-2.56
2 Co 0.8772 0.6318 0.8723  8 Co 2.47-2.57, 1 Cu 2.48, 3 Pt 2.52-2.55
3 Co 0.1228 0.3682 0.8723  8 Co 2.47-2.57, 1 Cu 2.48, 3 Pt 2.52-2.55
4 Co 0.7532 0.2468 0.7457  8 Co 2.45-2.57, 2 Cu 2.47-2.48, 2 Pt 2.54-2.56
5 Co 0.3682 0.1228 0.8723  8 Co 2.47-2.57, 1 Cu 2.48, 3 Pt 2.52-2.55
6 Co 0.6318 0.8772 0.8723  8 Co 2.47-2.57, 1 Cu 2.48, 3 Pt 2.52-2.55
7 Co 0.5000 0.5000 0.5000  2 Pt 2.48, 2 Cu 2.49, 8 Co 2.53
8 Co 0.1187 0.3728 0.6221  8 Co 2.45-2.55, 3 Cu 2.47-2.50, 1 Pt 2.54
9 Co 0.3728 0.1187 0.6221  8 Co 2.45-2.55, 3 Cu 2.47-2.50, 1 Pt 2.54
10 Co 0.2468 0.7532 0.2543  8 Co 2.45-2.57, 2 Cu 2.47-2.48, 2 Pt 2.54-2.56
11 Co 0.8813 0.6272 0.3779  8 Co 2.45-2.55, 3 Cu 2.47-2.50, 1 Pt 2.54
12 Co 0.1187 0.3728 0.3779  8 Co 2.45-2.55, 3 Cu 2.47-2.50, 1 Pt 2.54
13 Co 0.7532 0.2468 0.2543  8 Co 2.45-2.57, 2 Cu 2.47-2.48, 2 Pt 2.54-2.56
14 Co 0.3728 0.1187 0.3779  8 Co 2.45-2.55, 3 Cu 2.47-2.50, 1 Pt 2.54
15 Co 0.6272 0.8813 0.3779  8 Co 2.45-2.55, 3 Cu 2.47-2.50, 1 Pt 2.54
16 Co 0.5000 0.5000 0.0000  4 Pt 2.50-2.55, 8 Co 2.53
17 Co 0.1228 0.3682 0.1277  8 Co 2.47-2.57, 1 Cu 2.48, 3 Pt 2.52-2.55
18 Co 0.3682 0.1228 0.1277  8 Co 2.47-2.57, 1 Cu 2.48, 3 Pt 2.52-2.55
19 Co 0.0000 0.0000 0.5000  4 Cu 2.47-2.53, 8 Co 2.48
20 Co 0.6272 0.8813 0.6221  8 Co 2.45-2.55, 3 Cu 2.47-2.50, 1 Pt 2.54
21 Co 0.8813 0.6272 0.6221  8 Co 2.45-2.55, 3 Cu 2.47-2.50, 1 Pt 2.54
22 Co 0.0000 0.0000 0.0000  8 Co 2.49, 2 Pt 2.53, 2 Cu 2.55
23 Co 0.6318 0.8772 0.1277  8 Co 2.47-2.57, 1 Cu 2.48, 3 Pt 2.52-2.55
24 Co 0.8772 0.6318 0.1277  8 Co 2.47-2.57, 1 Cu 2.48, 3 Pt 2.52-2.55
25 Cu 0.2518 0.7482 0.5000  12 Co 2.47-2.53
26 Cu 0.7482 0.2518 0.5000  12 Co 2.47-2.53
27 Cu 0.0000 0.0000 0.7461  12 Co 2.47-2.55
28 Cu 0.0000 0.0000 0.2539  12 Co 2.47-2.55
29 Pt 0.2514 0.7486 0.0000  12 Co 2.50-2.56
30 Pt 0.7486 0.2514 0.0000  12 Co 2.50-2.56
31 Pt 0.5000 0.5000 0.7463  12 Co 2.48-2.55
32 Pt 0.5000 0.5000 0.2537  12 Co 2.48-2.55

=====

(8)
## Co4CuPt (meta-GGA SCAN)

Data for a crystal of Co4CuPt relaxed with PBEsol.

## Properties
The density of states at the Fermi level is 4.8 states/eV/f.u. Its total DFT energy (no corrections) is -154.1 eV/cell. As for the volume: 69.80 Å³/f.u. The value obtained for the formation energy is 87 meV per atom.

Lattice parameters (Å, degrees): 4.6215 4.6215 4.6215 60.00 60.00 60.00
Closest atoms and distances in Å follow each position.
Positions (direct):
1 Co 0.3753 0.3753 0.3753  6 Co 2.31-2.32
2 Co 0.3753 0.3753 0.8741  6 Co 2.31-2.32
3 Co 0.8741 0.3753 0.3753  6 Co 2.31-2.32
4 Co 0.3753 0.8741 0.3753  6 Co 2.31-2.32
5 Cu 0.7500 0.7500 0.7500  12 Co 2.71, 4 Pt 2.83
6 Pt 0.0000 0.0000 0.0000  12 Co 2.71, 4 Cu 2.83

=====

(9)
## Co2CuPt (meta-GGA SCAN)

Data for a crystal of Co2CuPt relaxed with PBEsol.

## Properties
The density of states at the Fermi level is 2.8 states/eV/f.u. Its total DFT energy (no corrections) is -119.7 eV/cell. As for the volume: 49.22 Å³/f.u. The value obtained for the formation energy is 72 meV per atom.

Lattice parameters (Å, degrees): 2.5563 2.5563 8.4920 90.00 90.00 117.51
Closest atoms and distances in Å follow each position.
Positions (direct):
1 Co 0.0000 0.0000 0.9820  6 Co 2.33-2.56
2 Co 0.5000 0.5000 0.7567  6 Co 2.33-2.56, 2 Cu 2.45
3 Cu 0.0000 0.0000 0.5136  2 Co 2.45, 6 Cu 2.56-2.65, 2 Pt 2.62
4 Pt 0.5000 0.5000 0.2477  6 Pt 2.56-2.65, 2 Co 2.62, 2 Cu 2.62

=====

(10)
## CoCu2Re (meta-GGA SCAN)

Data for a crystal of CoCu2Re relaxed with PBEsol.

## Properties
The density of states at the Fermi level is 2.4 states/eV/f.u. Its total DFT energy (no corrections) is -117.6 eV/cell. The calculation puts the energy above the lowest structure with this stoichiometry at 0.000 eV/atom. As for the volume: 48.64 Å³/f.u. The value obtained for the formation energy is 296 meV per atom.

Lattice parameters (Å, degrees): 2.4900 4.6177 4.6177 113.65 90.00 90.00
Closest atoms and distances in Å follow each position.
Positions (direct):
1 Co 0.5000 0.5000 0.5000  2 Co 2.49, 2 Re 2.53, 8 Cu 2.62
2 Cu 0.0000 0.5000 0.0000  4 Cu 2.49-2.53, 4 Co 2.62, 4 Re 2.62
3 Cu 0.0000 0.0000 0.5000  4 Cu 2.49-2.53, 4 Re 2.62, 4 Co 2.62
4 Re 0.5000 0.0000 0.0000  2 Re 2.49, 2 Co 2.53, 8 Cu 2.62

=====

(11)
## CoCu2Re (meta-GGA SCAN)

Data for a crystal of CoCu2Re relaxed with PBEsol.

## Properties
The density of states at the Fermi level is 1.4 states/eV/f.u. Its total DFT energy (no corrections) is -117.3 eV/cell. The calculation puts the energy above the lowest structure with this stoichiometry at 0.083 eV/atom. As for the volume: 47.12 Å³/f.u. The value obtained for the formation energy is 379 meV per atom.

Lattice parameters (Å, degrees): 4.0543 4.0543 4.0543 60.00 60.00 60.00
Closest atoms and distances in Å follow each position.
Positions (direct):
1 Co 0.5000 0.5000 0.5000  4 Cu 2.48, 4 Re 2.48
2 Cu 0.0000 0.0000 0.0000  4 Re 2.48, 4 Cu 2.48
3 Cu 0.7500 0.7500 0.7500  4 Co 2.48, 4 Cu 2.48
4 Re 0.2500 0.2500 0.2500  4 Co 2.48, 4 Cu 2.48

=====

(12)
## Co2CuRe (meta-GGA SCAN)

Data for a crystal of Co2CuRe relaxed with PBEsol.

## Properties
The density of states at the Fermi level is 3.9 states/eV/f.u. Its total DFT energy (no corrections) is -119.8 eV/cell. The calculation puts the energy above the lowest structure with this stoichiometry at 0.094 eV/atom. As for the volume: 47.36 Å³/f.u. The value obtained for the formation energy is 286 meV per atom.

Lattice parameters (Å, degrees): 2.4897 4.8212 4.8212 116.61 102.22 102.22
Closest atoms and distances in Å follow each position.
Positions (direct):
1 Re 0.5000 0.0000 0.0000  4 Co 2.47, 2 Re 2.49, 4 Cu 2.53-2.74
2 Co 0.0000 0.5000 0.0000  2 Cu 2.47, 2 Re 2.47, 6 Co 2.49-2.74
3 Co 0.0000 0.0000 0.5000  2 Re 2.47, 2 Cu 2.47, 6 Co 2.49-2.74
4 Cu 0.5000 0.5000 0.5000  4 Co 2.47, 2 Cu 2.49, 4 Re 2.53-2.74